# 1
Density functional theory data (PBE) for a relaxed structure of Pm3In5Te12.

Properties
Total DFT energy (no corrections) (eV/cell): -315.481
Raw formation energy (eV per atom): -0.6613
N(E_F) (states/eV per cell): 17.78
Magnetic moment (μB per atom): 0.000

abc: 15.5137 15.5137 15.5137
angles: 109.47 109.47 109.47
Element x y z (fractional)
Pm1 0.1250 0.2500 0.3750
Pm2 0.1250 0.3750 0.7500
Pm3 0.2500 0.3750 0.1250
Pm4 0.2500 0.8750 0.6250
Pm5 0.3750 0.1250 0.2500
Pm6 0.3750 0.7500 0.1250
Pm7 0.6250 0.2500 0.8750
Pm8 0.6250 0.8750 0.7500
Pm9 0.7500 0.1250 0.3750
Pm10 0.7500 0.6250 0.8750
Pm11 0.8750 0.6250 0.2500
Pm12 0.8750 0.7500 0.6250
In1 0.0000 0.0000 0.0000
In2 0.0000 0.0000 0.5000
In3 0.0000 0.5000 0.0000
In4 0.0000 0.5000 0.5000
In5 0.1250 0.7500 0.8750
In6 0.1250 0.8750 0.2500
In7 0.2500 0.1250 0.8750
In8 0.2500 0.6250 0.3750
In9 0.3750 0.2500 0.6250
In10 0.3750 0.6250 0.7500
In11 0.5000 0.0000 0.0000
In12 0.5000 0.0000 0.5000
In13 0.5000 0.5000 0.0000
In14 0.5000 0.5000 0.5000
In15 0.6250 0.3750 0.2500
In16 0.6250 0.7500 0.3750
In17 0.7500 0.3750 0.6250
In18 0.7500 0.8750 0.1250
In19 0.8750 0.1250 0.7500
In20 0.8750 0.2500 0.1250
Te1 0.0442 0.2171 0.1307
Te2 0.0442 0.3271 0.9135
Te3 0.0864 0.7171 0.6729
Te4 0.0864 0.8693 0.4135
Te5 0.0865 0.6307 0.4136
Te6 0.0865 0.9558 0.6729
Te7 0.1307 0.0442 0.2171
Te8 0.1307 0.5865 0.9136
Te9 0.1729 0.2171 0.5864
Te10 0.1729 0.4558 0.5865
Te11 0.2171 0.1307 0.0442
Te12 0.2171 0.5864 0.1729
Te13 0.2829 0.3271 0.9136
Te14 0.2829 0.4558 0.3693
Te15 0.3271 0.9135 0.0442
Te16 0.3271 0.9136 0.2829
Te17 0.3693 0.2829 0.4558
Te18 0.3693 0.5864 0.9135
Te19 0.4135 0.0864 0.8693
Te20 0.4135 0.8271 0.5442
Te21 0.4136 0.0865 0.6307
Te22 0.4136 0.8271 0.7829
Te23 0.4558 0.3693 0.2829
Te24 0.4558 0.5865 0.1729
Te25 0.5442 0.4135 0.8271
Te26 0.5442 0.6307 0.7171
Te27 0.5864 0.1729 0.2171
Te28 0.5864 0.9135 0.3693
Te29 0.5865 0.1729 0.4558
Te30 0.5865 0.9136 0.1307
Te31 0.6307 0.4136 0.0865
Te32 0.6307 0.7171 0.5442
Te33 0.6729 0.0864 0.7171
Te34 0.6729 0.0865 0.9558
Te35 0.7171 0.5442 0.6307
Te36 0.7171 0.6729 0.0864
Te37 0.7829 0.4136 0.8271
Te38 0.7829 0.8693 0.9558
Te39 0.8271 0.5442 0.4135
Te40 0.8271 0.7829 0.4136
Te41 0.8693 0.4135 0.0864
Te42 0.8693 0.9558 0.7829
Te43 0.9135 0.0442 0.3271
Te44 0.9135 0.3693 0.5864
Te45 0.9136 0.1307 0.5865
Te46 0.9136 0.2829 0.3271
Te47 0.9558 0.6729 0.0865
Te48 0.9558 0.7829 0.8693

# 2
Density functional theory data (PBE) for a relaxed structure of PmInTe2.

Properties
Total DFT energy (no corrections) (eV/cell): -17.161
Raw formation energy (eV per atom): -0.8472
N(E_F) (states/eV per cell): 1.55
Magnetic moment (μB per atom): 0.000

abc: 3.9513 3.9513 7.8875
angles: 90.00 90.00 90.00
Element x y z (fractional)
Pm1 0.0000 0.0000 0.0000
In1 0.0000 0.0000 0.5000
Te1 0.5000 0.5000 0.2261
Te2 0.5000 0.5000 0.7739

# 3
Density functional theory data (PBE) for a relaxed structure of Pm4InTe2.

Properties
Total DFT energy (no corrections) (eV/cell): -68.026
Raw formation energy (eV per atom): -0.8555
N(E_F) (states/eV per cell): 14.45
Magnetic moment (μB per atom): 0.000

abc: 8.4918 8.4918 8.4918
angles: 108.86 108.86 110.71
Element x y z (fractional)
Pm1 0.1840 0.2453 0.5613
Pm2 0.1840 0.6228 0.9387
Pm3 0.2453 0.1840 0.0613
Pm4 0.3772 0.8160 0.5613
Pm5 0.6228 0.1840 0.4387
Pm6 0.7547 0.8160 0.9387
Pm7 0.8160 0.3772 0.0613
Pm8 0.8160 0.7547 0.4387
In1 0.1250 0.8750 0.2500
In2 0.8750 0.1250 0.7500
Te1 0.0000 0.5000 0.5000
Te2 0.5000 0.0000 0.0000
Te3 0.5000 0.5000 0.0000
Te4 0.5000 0.5000 0.5000

# 4
Density functional theory data (PBE) for a relaxed structure of PmInTe.

Properties
Total DFT energy (no corrections) (eV/cell): -25.182
Raw formation energy (eV per atom): -0.6535
N(E_F) (states/eV per cell): 1.43
Magnetic moment (μB per atom): 0.000

abc: 10.7977 10.7977 10.7977
angles: 25.87 25.87 25.87
Element x y z (fractional)
Pm1 0.0000 0.0000 0.0000
Pm2 0.4354 0.4354 0.4354
In1 0.7174 0.7174 0.7174
In2 0.8809 0.8809 0.8809
Te1 0.1544 0.1544 0.1544
Te2 0.6198 0.6198 0.6198

# 5
Density functional theory data (PBE) for a relaxed structure of Pm3InTe2.

Properties
Polymorph energy (0 for the lowest one) (eV per atom): 0.000
Total DFT energy (no corrections) (eV/cell): -29.946
Raw formation energy (eV per atom): -1.1121
N(E_F) (states/eV per cell): 1.17
Magnetic moment (μB per atom): 0.000

abc: 7.9068 7.9068 7.9068
angles: 148.05 132.80 58.14
Element x y z (fractional)
Pm1 0.0000 0.0000 0.0000
Pm2 0.3331 0.3331 0.0000
Pm3 0.6669 0.6669 0.0000
In1 0.5000 0.0000 0.5000
Te1 0.1673 0.6673 0.5000
Te2 0.8327 0.3327 0.5000

# 6
Density functional theory data (PBE) for a relaxed structure of Pm4InTe.

Properties
Total DFT energy (no corrections) (eV/cell): -53.921
Raw formation energy (eV per atom): -0.3464
N(E_F) (states/eV per cell): 15.75
Magnetic moment (μB per atom): 0.000

abc: 6.3749 8.4083 8.2456
angles: 90.00 107.87 90.00
Element x y z (fractional)
Pm1 0.0455 0.0417 0.2568
Pm2 0.0455 0.4583 0.2568
Pm3 0.3677 0.2500 0.0129
Pm4 0.4237 0.7500 0.4943
Pm5 0.5763 0.2500 0.5057
Pm6 0.6323 0.7500 0.9871
Pm7 0.9545 0.5417 0.7432
Pm8 0.9545 0.9583 0.7432
In1 0.1906 0.7500 0.0674
In2 0.8094 0.2500 0.9326
Te1 0.1290 0.2500 0.5904
Te2 0.8710 0.7500 0.4096

# 7
Density functional theory data (PBE) for a relaxed structure of PmIn3Te4.

Properties
Total DFT energy (no corrections) (eV/cell): -30.441
Raw formation energy (eV per atom): -0.6135
N(E_F) (states/eV per cell): 1.42
Magnetic moment (μB per atom): 0.000

abc: 15.8776 15.8776 15.8776
angles: 16.09 16.09 16.09
Element x y z (fractional)
Pm1 0.0000 0.0000 0.0000
In1 0.2467 0.2467 0.2467
In2 0.5000 0.5000 0.5000
In3 0.7533 0.7533 0.7533
Te1 0.1301 0.1301 0.1301
Te2 0.3728 0.3728 0.3728
Te3 0.6272 0.6272 0.6272
Te4 0.8699 0.8699 0.8699

# 8
Density functional theory data (PBE) for a relaxed structure of PmIn2Te4.

Properties
Total DFT energy (no corrections) (eV/cell): -26.098
Raw formation energy (eV per atom): -0.4719
N(E_F) (states/eV per cell): 4.18
Magnetic moment (μB per atom): 0.000

abc: 6.9976 6.9976 6.9976
angles: 106.35 106.35 115.91
Element x y z (fractional)
Pm1 0.0000 0.0000 0.0000
In1 0.2500 0.7500 0.5000
In2 0.7500 0.2500 0.5000
Te1 0.1976 0.6825 0.8801
Te2 0.3175 0.1976 0.5150
Te3 0.6825 0.8024 0.4850
Te4 0.8024 0.3175 0.1199